# Fe6PdRh5

Fe6PdRh5 after structural relaxation (GGA-PBE, Alexandria).

## Properties
- DOS(E_F) (states/eV/f.u.) = 20.26
- VASP energy (eV per atom) = -7.73
- E_form (eV/f.u.) = -0.08

Unit cell a=3.862 b=7.179 c=7.091 alpha=120.41 beta=105.80 gamma=90.00
Each line ends with the local moment (μB).
Fractional positions:
Rh (0.666, 0.166, 0.331)  0.53
Rh (0.333, 0.333, 0.665)  0.43
Rh (0.000, 0.500, 0.000)  0.46
Rh (0.667, 0.667, 0.335)  0.43
Rh (0.334, 0.834, 0.669)  0.53
Fe (0.832, 0.581, 0.665)  2.84
Fe (0.832, 0.084, 0.665)  2.84
Fe (0.500, 0.747, 0.000)  2.88
Fe (0.500, 0.253, 0.000)  2.88
Fe (0.168, 0.916, 0.335)  2.84
Fe (0.168, 0.419, 0.335)  2.84
Pd (0.000, 0.000, 0.000)  0.31